No. 1
Ac4Hg2SeN2 | PBE | relaxed

The value obtained for the raw total energy is -5.1835 eV per atom. The value obtained for the uncorrected formation energy is -1.053 eV per atom.

It has space group C2/m (No. 12), with a = 17.255 Å, b = 4.228 Å, c = 8.120 Å, α = 90.00°, β = 110.62° and γ = 90.00°. The inequivalent atoms are Ac at (0.043, 0.000, 0.262), Ac at (0.212, 0.500, 0.654), Hg at (0.127, 0.500, 0.026), Se at (0.000, 0.500, 0.500) and N at (0.177, 0.000, 0.473).

No. 2
CuTcTe | PBE | relaxed

The value obtained for the raw total energy is -5.7253 eV per atom. The value obtained for the uncorrected formation energy is 0.143 eV per atom.

It has space group C2/m (No. 12), with a = 10.655 Å, b = 3.323 Å, c = 6.625 Å, α = 90.00°, β = 108.89° and γ = 90.00°. The inequivalent atoms are Cu at (0.073, 0.000, 0.247), Tc at (0.123, 0.500, 0.967) and Te at (0.170, 0.000, 0.689).

No. 3
Tb2Nd2SmY6 | PBE | relaxed

The value obtained for the raw total energy is -5.5160 eV per atom. The value obtained for the formation energy from the elements is 14 kJ per mole of atoms.

It has space group C2/m (No. 12), with a = 5.716 Å, b = 12.096 Å, c = 10.673 Å, α = 90.00°, β = 90.09° and γ = 90.00°. The inequivalent atoms are Tb at (0.000, 0.206, 0.000), Nd at (0.000, 0.134, 0.500), Sm at (0.000, 0.500, 0.000), Y at (0.001, 0.000, 0.794) and Y at (0.001, 0.347, 0.709).

No. 4
Pr2DyHg2Pb2 | PBE | relaxed

The value obtained for the raw total energy is -3.4051 eV per atom. The value obtained for the formation energy from the elements is -23 kJ per mole of atoms.

It has space group R-3m (No. 166, hexagonal axes), with a = 5.1223 Å, b = 5.1223 Å, c = 27.5667 Å, α = 90.00°, β = 90.00° and γ = 120.00°. The inequivalent atoms are Pr at (0.0000, 0.0000, 0.1296), Dy at (0.0000, 0.0000, 0.0000), Hg at (0.0000, 0.0000, 0.4292) and Pb at (0.0000, 0.0000, 0.2776).

No. 5
Ho2Al3ZnCu12 | PBE | relaxed

The value obtained for the raw total energy is -3.8885 eV per atom. The value obtained for the formation energy from the elements is 4 kJ per mole of atoms.

It has space group R-3m (No. 166, hexagonal axes), with a = 5.3351 Å, b = 5.3351 Å, c = 34.7590 Å, α = 90.00°, β = 90.00° and γ = 120.00°. The inequivalent atoms are Ho at (0.0000, 0.0000, 0.1426), Al at (0.0000, 0.5000, 0.0000), Zn at (0.0000, 0.0000, 0.5000), Cu at (0.0040, 0.5020, 0.8889) and Cu at (0.0210, 0.5105, 0.6102).

No. 6
TcBS2N | PBE | relaxed

The value obtained for the raw total energy is -6.0820 eV per atom. The value obtained for the uncorrected formation energy is 0.643 eV per atom.

It has space group P4/mmm (No. 123), with a = 4.825 Å, b = 4.825 Å, c = 2.729 Å, α = 90.00°, β = 90.00° and γ = 90.00°. The inequivalent atoms are Tc at (0.000, 0.000, 0.000), B at (0.500, 0.500, 0.500), S at (0.000, 0.500, 0.500) and N at (0.500, 0.500, 0.000).

No. 7
MnBPd2 | PBE | relaxed

The value obtained for the raw total energy is -6.1692 eV per atom. The value obtained for the formation energy from the elements is 38 kJ per mole of atoms.

It has space group I-42d (No. 122), with a = 7.042 Å, b = 7.042 Å, c = 4.339 Å, α = 90.00°, β = 90.00° and γ = 90.00°. The inequivalent atoms are Mn at (0.000, 0.000, 0.000), B at (0.000, 0.000, 0.500) and Pd at (0.138, 0.250, 0.625).

No. 8
LaSn2HPb | PBE | relaxed

The value obtained for the raw total energy is -4.2939 eV per atom.

It has space group P4/mmm (No. 123), with a = 4.990 Å, b = 4.990 Å, c = 4.745 Å, α = 90.00°, β = 90.00° and γ = 90.00°. The inequivalent atoms are La at (0.000, 0.000, 0.000), Sn at (0.000, 0.500, 0.500), H at (0.000, 0.000, 0.500) and Pb at (0.500, 0.500, 0.000).

No. 9
La2TlInIr | PBE | relaxed

The value obtained for the raw total energy is -5.2339 eV per atom. The value obtained for the formation energy from the elements is -45 kJ per mole of atoms.

It has space group P4/mmm (No. 123), with a = 5.530 Å, b = 5.530 Å, c = 5.198 Å, α = 90.00°, β = 90.00° and γ = 90.00°. The inequivalent atoms are La at (0.000, 0.500, 0.000), Tl at (0.000, 0.000, 0.500), In at (0.500, 0.500, 0.500) and Ir at (0.500, 0.500, 0.000).

No. 10
MgCd2In | PBE | relaxed

The value obtained for the raw total energy is -1.4476 eV per atom. The value obtained for the formation energy from the elements is 9 kJ per mole of atoms.

It has space group I-42d (No. 122), with a = 8.246 Å, b = 8.246 Å, c = 6.064 Å, α = 90.00°, β = 90.00° and γ = 90.00°. The inequivalent atoms are Mg at (0.000, 0.000, 0.000), Cd at (0.246, 0.250, 0.125) and In at (0.000, 0.000, 0.500).

No. 11
MnBeCo | PBE | relaxed

The value obtained for the raw total energy is -6.7727 eV per atom. The value obtained for the formation energy from the elements is -10 kJ per mole of atoms.

It has space group Cmmm (No. 65), with a = 3.694 Å, b = 11.543 Å, c = 2.682 Å, α = 90.00°, β = 90.00° and γ = 90.00°. The inequivalent atoms are Mn at (0.000, 0.000, 0.000), Mn at (0.000, 0.500, 0.500), Be at (0.000, 0.167, 0.500) and Co at (0.000, 0.328, 0.000).

No. 12
RbNbAsO6 | PBE | relaxed

The value obtained for the raw total energy is -6.7091 eV per atom. The value obtained for the uncorrected formation energy is -1.661 eV per atom.

It has space group P312 (No. 149), with a = 5.2896 Å, b = 5.2896 Å, c = 6.2374 Å, α = 90.00°, β = 90.00° and γ = 120.00°. The inequivalent atoms are Rb at (0.0000, 0.0000, 0.0000), Nb at (0.3333, 0.6667, 0.5000), As at (0.6667, 0.3333, 0.5000) and O at (0.4081, 0.0214, 0.3292).

| no. | Fermi-level density of states (states/eV/cell) |
| --- | --- |
| 1 | 9.02 |
| 2 | 5.09 |
| 3 | 36.06 |
| 4 | 17.36 |
| 5 | 22.52 |
| 6 | 4.17 |
| 7 | 25.10 |
| 8 | 2.46 |
| 9 | 5.31 |
| 10 | 6.26 |
| 11 | 12.44 |
| 12 | 4.04 |